No. 1
Entry from Alexandria via LeMat-Bulk: a relaxed structure of TeIrRh (GGA-PBE).

```
data_TeIrRh
_chemical_formula_sum 'Te4 Ir4 Rh4'
_space_group_name_H-M_alt 'F -4 3 m'
_space_group_IT_number 216
_space_group_name_Hall 'F -4 2 3'
_cell_length_a 6.169
_cell_length_b 6.169
_cell_length_c 6.169
_cell_angle_alpha 90.00
_cell_angle_beta 90.00
_cell_angle_gamma 90.00
loop_
_atom_site_label
_atom_site_type_symbol
_atom_site_fract_x
_atom_site_fract_y
_atom_site_fract_z
_atom_site_occupancy
Te1 Te 0.000 0.000 0.000 1
Ir1 Ir 0.000 0.000 0.500 1
Rh1 Rh 0.250 0.250 0.750 1
```

offset from the most stable computed form = 0.299 eV/atom
DFT total energy = -0.444 Ry/atom
magnetic moment = 0.001 μB per atom


No. 2
Entry from Alexandria via LeMat-Bulk: a relaxed structure of KTaAs2Br (GGA-PBE).

```
data_KTaAs2Br
_chemical_formula_sum 'K1 Ta1 As2 Br1'
_space_group_name_H-M_alt 'P 4/m m m'
_space_group_IT_number 123
_space_group_name_Hall '-P 4 2'
_cell_length_a 4.999
_cell_length_b 4.999
_cell_length_c 5.603
_cell_angle_alpha 90.00
_cell_angle_beta 90.00
_cell_angle_gamma 90.00
loop_
_atom_site_label
_atom_site_type_symbol
_atom_site_fract_x
_atom_site_fract_y
_atom_site_fract_z
_atom_site_occupancy
K1 K 0.000 0.000 0.000 1
Ta1 Ta 0.500 0.500 0.500 1
As1 As 0.000 0.500 0.500 1
Br1 Br 0.500 0.500 0.000 1
```

offset from the most stable computed form = 0.000 eV/atom
DFT total energy = -0.379 Ry/atom
magnetic moment = 0.000 μB per atom


No. 3
Entry from Alexandria via LeMat-Bulk: a relaxed structure of TaIn3H (GGA-PBE).

```
data_TaIn3H
_chemical_formula_sum 'Ta1 In3 H1'
_space_group_name_H-M_alt 'P m -3 m'
_space_group_IT_number 221
_space_group_name_Hall '-P 4 2 3'
_cell_length_a 5.487
_cell_length_b 5.487
_cell_length_c 5.487
_cell_angle_alpha 90.00
_cell_angle_beta 90.00
_cell_angle_gamma 90.00
loop_
_atom_site_label
_atom_site_type_symbol
_atom_site_fract_x
_atom_site_fract_y
_atom_site_fract_z
_atom_site_occupancy
Ta1 Ta 0.000 0.000 0.000 1
In1 In 0.000 0.000 0.500 1
H1 H 0.500 0.500 0.500 1
```

offset from the most stable computed form = 0.607 eV/atom
DFT total energy = -0.261 Ry/atom
magnetic moment = 0.289 μB per atom


No. 4
Entry from Alexandria via LeMat-Bulk: a relaxed structure of Er2GaN (GGA-PBE).

```
data_Er2GaN
_chemical_formula_sum 'Er6 Ga3 N3'
_space_group_name_H-M_alt 'R -3 m'
_space_group_IT_number 166
_space_group_name_Hall '-R 3 2"'
_cell_length_a 3.4802
_cell_length_b 3.4802
_cell_length_c 21.8030
_cell_angle_alpha 90.00
_cell_angle_beta 90.00
_cell_angle_gamma 120.00
loop_
_atom_site_label
_atom_site_type_symbol
_atom_site_fract_x
_atom_site_fract_y
_atom_site_fract_z
_atom_site_occupancy
Er1 Er 0.0000 0.0000 0.2285 1
Ga1 Ga 0.0000 0.0000 0.0000 1
N1 N 0.0000 0.0000 0.5000 1
```

DFT total energy = -0.456 Ry/atom
magnetic moment = 0.000 μB per atom


No. 5
Entry from Alexandria via LeMat-Bulk: a relaxed structure of Cd2CuPW (GGA-PBE).

```
data_Cd2CuPW
_chemical_formula_sum 'Cd2 Cu1 P1 W1'
_space_group_name_H-M_alt 'P 4/m m m'
_space_group_IT_number 123
_space_group_name_Hall '-P 4 2'
_cell_length_a 4.768
_cell_length_b 4.768
_cell_length_c 4.743
_cell_angle_alpha 90.00
_cell_angle_beta 90.00
_cell_angle_gamma 90.00
loop_
_atom_site_label
_atom_site_type_symbol
_atom_site_fract_x
_atom_site_fract_y
_atom_site_fract_z
_atom_site_occupancy
Cd1 Cd 0.000 0.500 0.000 1
Cu1 Cu 0.000 0.000 0.000 1
P1 P 0.500 0.500 0.500 1
W1 W 0.000 0.000 0.500 1
```

DFT total energy = -0.265 Ry/atom
magnetic moment = 0.389 μB per atom


No. 6
Entry from Alexandria via LeMat-Bulk: a relaxed structure of Hf2Ta2Tc (GGA-PBE).

```
data_Hf2Ta2Tc
_chemical_formula_sum 'Hf4 Ta4 Tc2'
_space_group_name_H-M_alt 'P 4/m b m'
_space_group_IT_number 127
_space_group_name_Hall '-P 4 2ab'
_cell_length_a 6.579
_cell_length_b 6.579
_cell_length_c 4.691
_cell_angle_alpha 90.00
_cell_angle_beta 90.00
_cell_angle_gamma 90.00
loop_
_atom_site_label
_atom_site_type_symbol
_atom_site_fract_x
_atom_site_fract_y
_atom_site_fract_z
_atom_site_occupancy
Hf1 Hf 0.162 0.338 0.000 1
Ta1 Ta 0.150 0.650 0.500 1
Tc1 Tc 0.000 0.000 0.500 1
```

offset from the most stable computed form = 0.294 eV/atom
DFT total energy = -0.784 Ry/atom
magnetic moment = 0.000 μB per atom


No. 7
Entry from Alexandria via LeMat-Bulk: a relaxed structure of KRu2C (GGA-PBE).

```
data_KRu2C
_chemical_formula_sum 'K4 Ru8 C4'
_space_group_name_H-M_alt 'I -4 2 d'
_space_group_IT_number 122
_space_group_name_Hall 'I -4 2bw'
_cell_length_a 6.244
_cell_length_b 6.244
_cell_length_c 8.825
_cell_angle_alpha 90.00
_cell_angle_beta 90.00
_cell_angle_gamma 90.00
loop_
_atom_site_label
_atom_site_type_symbol
_atom_site_fract_x
_atom_site_fract_y
_atom_site_fract_z
_atom_site_occupancy
K1 K 0.000 0.000 0.000 1
Ru1 Ru 0.001 0.750 0.625 1
C1 C 0.000 0.000 0.500 1
```

DFT total energy = -0.464 Ry/atom
magnetic moment = 0.472 μB per atom


No. 8
Entry from Alexandria via LeMat-Bulk: a relaxed structure of SmZn2Rh2 (GGA-PBE).

```
data_SmZn2Rh2
_chemical_formula_sum 'Sm4 Zn8 Rh8'
_space_group_name_H-M_alt 'I 4/m m m'
_space_group_IT_number 139
_space_group_name_Hall '-I 4 2'
_cell_length_a 4.074
_cell_length_b 4.074
_cell_length_c 21.951
_cell_angle_alpha 90.00
_cell_angle_beta 90.00
_cell_angle_gamma 90.00
loop_
_atom_site_label
_atom_site_type_symbol
_atom_site_fract_x
_atom_site_fract_y
_atom_site_fract_z
_atom_site_occupancy
Sm1 Sm 0.000 0.000 0.130 1
Zn1 Zn 0.000 0.000 0.318 1
Zn2 Zn 0.000 0.500 0.000 1
Rh1 Rh 0.000 0.000 0.431 1
Rh2 Rh 0.000 0.500 0.250 1
```

offset from the most stable computed form = 0.000 eV/atom
DFT total energy = -0.361 Ry/atom
magnetic moment = 0.000 μB per atom


No. 9
Entry from Alexandria via LeMat-Bulk: a relaxed structure of Sm3Mn5Te12 (GGA-PBE).

```
data_Sm3Mn5Te12
_chemical_formula_sum 'Sm24 Mn40 Te96'
_space_group_name_H-M_alt 'I a -3 d'
_space_group_IT_number 230
_space_group_name_Hall '-I 4bd 2c 3'
_cell_length_a 17.073
_cell_length_b 17.073
_cell_length_c 17.073
_cell_angle_alpha 90.00
_cell_angle_beta 90.00
_cell_angle_gamma 90.00
loop_
_atom_site_label
_atom_site_type_symbol
_atom_site_fract_x
_atom_site_fract_y
_atom_site_fract_z
_atom_site_occupancy
Sm1 Sm 0.000 0.250 0.125 1
Mn1 Mn 0.000 0.000 0.000 1
Mn2 Mn 0.000 0.250 0.375 1
Te1 Te 0.027 0.060 0.648 1
```

DFT total energy = -0.400 Ry/atom
magnetic moment = 1.000 μB per atom


No. 10
Entry from Alexandria via LeMat-Bulk: a relaxed structure of LaSc2Cd (GGA-PBE).

```
data_LaSc2Cd
_chemical_formula_sum 'La1 Sc2 Cd1'
_space_group_name_H-M_alt 'P 4/m m m'
_space_group_IT_number 123
_space_group_name_Hall '-P 4 2'
_cell_length_a 3.512
_cell_length_b 3.512
_cell_length_c 8.504
_cell_angle_alpha 90.00
_cell_angle_beta 90.00
_cell_angle_gamma 90.00
loop_
_atom_site_label
_atom_site_type_symbol
_atom_site_fract_x
_atom_site_fract_y
_atom_site_fract_z
_atom_site_occupancy
La1 La 0.000 0.000 0.000 1
Sc1 Sc 0.500 0.500 0.287 1
Cd1 Cd 0.000 0.000 0.500 1
```

DFT total energy = -0.347 Ry/atom
magnetic moment = 0.000 μB per atom


No. 11
Entry from Alexandria via LeMat-Bulk: a relaxed structure of AlZn3 (GGA-PBE).

```
data_AlZn3
_chemical_formula_sum 'Al3 Zn9'
_space_group_name_H-M_alt 'R -3 m'
_space_group_IT_number 166
_space_group_name_Hall '-R 3 2"'
_cell_length_a 2.7860
_cell_length_b 2.7860
_cell_length_c 27.9071
_cell_angle_alpha 90.00
_cell_angle_beta 90.00
_cell_angle_gamma 120.00
loop_
_atom_site_label
_atom_site_type_symbol
_atom_site_fract_x
_atom_site_fract_y
_atom_site_fract_z
_atom_site_occupancy
Al1 Al 0.0000 0.0000 0.0000 1
Zn1 Zn 0.0000 0.0000 0.2511 1
Zn2 Zn 0.0000 0.0000 0.5000 1
```

DFT total energy = -0.137 Ry/atom
magnetic moment = 0.000 μB per atom


No. 12
Entry from Alexandria via LeMat-Bulk: a relaxed structure of LiZrPa (GGA-PBE).

```
data_LiZrPa
_chemical_formula_sum 'Li4 Zr4 Pa4'
_space_group_name_H-M_alt 'C 1 2/m 1'
_space_group_IT_number 12
_cell_length_a 5.452
_cell_length_b 3.134
_cell_length_c 16.349
_cell_angle_alpha 90.00
_cell_angle_beta 96.38
_cell_angle_gamma 90.00
loop_
_space_group_symop_operation_xyz
'x,y,z'
'-x,-y,-z'
'-x,y,-z'
'x,-y,z'
'x+1/2,y+1/2,z'
'-x+1/2,-y+1/2,-z'
'-x+1/2,y+1/2,-z'
'x+1/2,-y+1/2,z'
loop_
_atom_site_label
_atom_site_type_symbol
_atom_site_fract_x
_atom_site_fract_y
_atom_site_fract_z
_atom_site_occupancy
Li1 Li 0.191 0.000 0.076 1
Zr1 Zr 0.191 0.500 0.584 1
Pa1 Pa 0.076 0.500 0.246 1
```

offset from the most stable computed form = 0.000 eV/atom
DFT total energy = -0.480 Ry/atom
magnetic moment = 0.000 μB per atom